# 1
Density functional theory data (PBE) for an optimized crystal structure of CeNdN.

```
CeNdN
1.0
4.364 0.000 0.000
2.182 3.779 0.000
2.182 1.260 3.563
Ce N Nd
1 1 1
Cartesian
0.000 0.000 0.000
2.182 1.260 0.891
4.364 2.519 1.782
```

Calculated density: 8.4 g/cm³
E above lowest polymorph: 47.7 kJ/mol of atoms
Formation energy from raw total energies: -0.366 eV/atom
DOS at the Fermi energy: 1.357 states/eV per atom


# 2
Density functional theory data (PBE) for an optimized crystal structure of BaY3Mn.

```
BaY3Mn
1.0
5.659 0.000 0.000
0.000 5.659 0.000
0.000 0.000 5.659
Mn Ba Y
1 1 3
Cartesian
2.830 2.830 2.830
0.000 0.000 0.000
0.000 0.000 2.830
0.000 2.830 0.000
2.830 0.000 0.000
```

Calculated formation energy: 1.39 eV per atom
Calculated density: 4.2 g/cm³
E above lowest polymorph: 112.4 kJ/mol of atoms
DOS at the Fermi energy: 1.015 states/eV per atom


# 3
Density functional theory data (PBE) for an optimized crystal structure of MgZrSN2.

```
MgZrSN2
1.0
-0.464 3.588 -1.916
-2.460 -1.783 -2.744
-4.270 1.107 3.108
S N Mg Zr
1 2 1 1
Cartesian
-2.135 0.553 1.554
-0.232 1.794 -0.958
-1.230 -0.892 -1.372
-3.597 1.456 -0.776
0.000 0.000 0.000
```

Calculated density: 3.2 g/cm³
E above lowest polymorph: 0.0 kJ/mol of atoms
Formation energy from raw total energies: -0.091 eV/atom
DOS at the Fermi energy: 0.518 states/eV per atom


# 4
Density functional theory data (PBE) for an optimized crystal structure of PuMoPt.

```
PuMoPt
1.0
3.975 0.000 0.000
-1.987 2.005 0.000
0.000 0.000 13.662
Pt Mo Pu
2 2 2
Cartesian
1.987 0.780 0.000
0.000 0.780 6.831
0.000 0.779 11.654
0.000 0.779 2.009
1.987 0.780 4.471
1.987 0.780 9.192
```

Calculated formation energy: -0.07 eV per atom
Calculated density: 16.3 g/cm³
DOS at the Fermi energy: 1.909 states/eV per atom


# 5
Density functional theory data (PBE) for an optimized crystal structure of CsRb2I6Cl.

```
CsRb2I6Cl
1.0
-1.549 -8.469 1.607
8.241 -0.976 2.800
1.148 -2.978 9.279
Cl Rb I Cs
1 2 6 1
Cartesian
3.346 -4.723 2.204
1.473 -8.085 6.545
6.368 -4.339 7.142
2.203 -3.815 5.884
5.637 -8.608 7.802
5.461 -3.104 2.461
4.791 -6.763 3.156
1.231 -6.341 1.946
1.900 -2.682 1.252
0.000 0.000 0.000
```

Calculated density: 3.1 g/cm³
Formation energy from raw total energies: -0.605 eV/atom
DOS at the Fermi energy: 0.000 states/eV per atom


# 6
Density functional theory data (PBE) for an optimized crystal structure of CeLu2Pt.

```
CeLu2Pt
1.0
3.459 0.000 0.000
0.000 3.459 0.000
0.000 0.000 8.410
Lu Pt Ce
2 1 1
Cartesian
0.000 0.000 6.782
0.000 0.000 1.629
1.729 1.729 0.000
1.729 1.729 4.205
```

Calculated formation energy: -0.62 eV per atom
Calculated density: 11.3 g/cm³
DOS at the Fermi energy: 1.570 states/eV per atom


# 7
Density functional theory data (PBE) for an optimized crystal structure of Ni2Sn2Rh.

```
Ni2Sn2Rh
1.0
-3.450 3.852 4.837
-5.776 -0.029 -4.097
-0.967 -2.602 1.382
Rh Sn Ni
2 4 4
Cartesian
0.000 0.000 0.000
-4.613 1.911 0.370
-2.618 -0.058 1.538
-4.995 -0.643 -1.227
-5.198 1.864 3.350
-7.575 1.279 0.585
-6.625 3.358 1.686
-2.864 2.398 2.510
-6.362 1.425 -1.769
-2.601 0.465 -0.945
```

Calculated formation energy: -0.14 eV per atom
Calculated density: 9.8 g/cm³
E above lowest polymorph: 0.0 kJ/mol of atoms
DOS at the Fermi energy: 0.473 states/eV per atom


# 8
Density functional theory data (PBE) for an optimized crystal structure of Mg6CrCd.

```
Mg6CrCd
1.0
-5.652 -1.279 2.336
1.525 -1.969 -5.730
1.773 -4.282 1.944
Mg Cd Cr
6 1 1
Cartesian
-2.506 -2.515 -3.255
-2.799 -4.513 -0.894
-0.393 -0.852 -1.518
-0.752 -2.902 0.789
0.327 -1.854 -4.383
-3.289 -1.506 -0.319
0.014 -3.880 -2.064
-3.563 -3.536 1.957
```

Calculated formation energy: 0.09 eV per atom
Calculated density: 3.0 g/cm³
DOS at the Fermi energy: 0.376 states/eV per atom


# 9
Density functional theory data (PBE) for an optimized crystal structure of CaZrS2Br.

```
CaZrS2Br
1.0
-0.206 -2.017 4.589
5.193 0.524 0.464
-0.637 4.567 1.978
S Br Ca Zr
2 1 1 1
Cartesian
-0.319 2.283 0.989
-0.103 -1.009 2.295
2.596 0.262 0.232
2.175 1.537 3.516
0.000 0.000 0.000
```

Calculated density: 3.5 g/cm³
Formation energy from raw total energies: -1.251 eV/atom
DOS at the Fermi energy: 0.413 states/eV per atom


# 10
Density functional theory data (PBE) for an optimized crystal structure of Tl2HgMo.

```
Tl2HgMo
1.0
5.665 0.007 0.000
2.451 5.107 0.000
-4.058 -2.557 3.014
Hg Tl Mo
1 2 1
Cartesian
1.225 2.553 1.507
4.058 2.557 0.000
0.000 0.000 0.000
2.832 0.003 1.507
```

Calculated formation energy: 0.71 eV per atom
Calculated density: 13.4 g/cm³
E above lowest polymorph: 15.9 kJ/mol of atoms
DOS at the Fermi energy: 0.393 states/eV per atom


# 11
Density functional theory data (PBE) for an optimized crystal structure of Ca3ScAg.

```
Ca3ScAg
1.0
-0.295 5.923 0.238
-5.704 -0.348 1.603
1.613 -0.149 5.709
Ca Sc Ag
3 1 1
Cartesian
-2.852 -0.174 0.801
0.807 -0.075 2.855
-0.147 2.961 0.119
0.000 0.000 0.000
-2.192 2.713 3.775
```

Calculated formation energy: 0.83 eV per atom
Calculated density: 2.2 g/cm³
E above lowest polymorph: 57.1 kJ/mol of atoms
DOS at the Fermi energy: 0.778 states/eV per atom


# 12
Density functional theory data (PBE) for an optimized crystal structure of Pu2Ni17.

```
Pu2Ni17
1.0
6.247 -0.065 -0.057
0.822 6.193 -0.057
0.822 0.712 6.152
Ni Pu
17 2
Cartesian
5.856 2.343 2.068
3.149 2.730 5.166
2.034 4.498 3.970
0.822 2.333 4.317
3.124 -0.032 -0.029
0.411 3.097 -0.029
0.781 0.677 0.598
4.643 0.165 1.779
3.149 5.465 2.068
7.109 6.164 5.440
4.741 1.376 3.970
4.643 1.785 -0.057
4.741 4.110 0.872
0.822 4.573 1.779
0.411 0.356 3.076
2.426 4.343 -0.057
2.426 0.482 4.317
5.216 4.522 3.991
2.675 2.319 2.047
```

Calculated formation energy: -0.10 eV per atom
Calculated density: 10.3 g/cm³
DOS at the Fermi energy: 2.548 states/eV per atom


# 13
Density functional theory data (PBE) for an optimized crystal structure of Rb2Ca2B.

```
Rb2Ca2B
1.0
-2.694 -3.335 2.055
-1.997 -0.976 -4.202
5.792 -9.990 -3.120
Ca Rb B
2 2 1
Cartesian
0.725 -6.561 -4.198
0.376 -7.740 -1.069
-1.030 -3.422 -1.405
2.131 -10.879 -3.863
0.000 0.000 0.000
```

Calculated formation energy: 1.10 eV per atom
Calculated density: 1.7 g/cm³
E above lowest polymorph: 2.8 kJ/mol of atoms
DOS at the Fermi energy: 0.675 states/eV per atom


# 14
Density functional theory data (PBE) for an optimized crystal structure of NdAlInPt3.

```
NdAlInPt3
1.0
5.715 0.000 0.000
0.000 5.755 0.000
0.000 -2.877 8.347
Nd In Pt Al
2 2 6 2
Cartesian
1.429 2.877 3.523
4.286 0.000 4.824
1.429 0.000 1.788
4.286 2.877 6.559
1.429 0.000 4.453
4.286 2.877 3.894
2.857 4.312 0.000
0.000 4.312 0.000
0.000 1.442 0.000
2.857 1.442 0.000
1.429 0.000 6.911
4.286 2.877 1.436
```

Calculated formation energy: -0.72 eV per atom
Calculated density: 10.5 g/cm³
DOS at the Fermi energy: 0.268 states/eV per atom


# 15
Density functional theory data (PBE) for an optimized crystal structure of Ru3AuBr.

```
Ru3AuBr
1.0
5.017 0.000 0.000
0.000 5.017 0.000
0.000 0.000 5.017
Ru Au Br
3 1 1
Cartesian
0.000 2.508 0.000
0.000 0.000 2.508
2.508 0.000 0.000
0.000 0.000 0.000
2.508 2.508 2.508
```

Calculated density: 7.6 g/cm³
E above lowest polymorph: 55.2 kJ/mol of atoms
Formation energy from raw total energies: 2.074 eV/atom
DOS at the Fermi energy: 1.006 states/eV per atom


# 16
Density functional theory data (PBE) for an optimized crystal structure of Ta4TiTc5.

```
Ta4TiTc5
1.0
-3.126 -0.375 0.421
0.472 -3.038 0.797
1.541 4.224 15.182
Ti Tc Ta
1 5 4
Cartesian
0.000 0.000 0.000
-0.247 1.253 11.248
-0.557 0.405 8.200
-1.175 -1.290 2.105
0.062 2.101 14.296
-0.866 -0.442 5.152
0.614 1.684 6.052
0.927 2.540 9.130
0.302 0.827 2.973
1.239 3.397 12.209
```

Calculated formation energy: -0.51 eV per atom
Calculated density: 13.1 g/cm³
DOS at the Fermi energy: 0.405 states/eV per atom


# 17
Density functional theory data (PBE) for an optimized crystal structure of HfTaMo2.

```
HfTaMo2
1.0
-6.531 -3.155 0.994
2.567 -6.222 -2.880
-1.178 -5.544 1.621
Mo Ta Hf
4 2 2
Cartesian
-2.409 -7.581 0.551
-4.314 -12.456 -0.478
-4.153 -4.183 0.681
0.591 -5.622 -1.286
0.000 0.000 0.000
-4.846 -6.694 0.836
-1.982 -4.689 -0.943
-0.297 -8.227 -1.101
```

Calculated formation energy: 0.65 eV per atom
Calculated density: 12.1 g/cm³
E above lowest polymorph: 72.5 kJ/mol of atoms
DOS at the Fermi energy: 0.660 states/eV per atom


# 18
Density functional theory data (PBE) for an optimized crystal structure of Sr2ScSi.

```
Sr2ScSi
1.0
-0.563 -7.193 -6.069
2.756 -5.805 -6.899
1.817 -3.099 2.083
Si Sc Sr
1 1 2
Cartesian
1.002 -4.024 -2.721
3.007 -12.073 -8.164
2.040 -8.971 -6.845
2.158 -12.076 -11.567
```

Calculated density: 3.0 g/cm³
Formation energy from raw total energies: -0.128 eV/atom
DOS at the Fermi energy: 1.210 states/eV per atom


# 19
Density functional theory data (PBE) for an optimized crystal structure of SrLaBeFe2.

```
SrLaBeFe2
1.0
-4.265 1.166 1.115
-0.918 -4.345 1.036
1.513 0.848 4.898
Sr Fe La Be
1 2 1 1
Cartesian
-1.835 -1.165 3.525
-2.133 0.583 0.558
-0.459 -2.173 0.518
0.756 0.424 2.449
0.000 0.000 0.000
```

Calculated formation energy: 0.73 eV per atom
Calculated density: 5.3 g/cm³
DOS at the Fermi energy: 1.678 states/eV per atom


# 20
Density functional theory data (PBE) for an optimized crystal structure of LiTcI2N.

```
LiTcI2N
1.0
5.651 0.000 0.000
0.000 5.651 0.000
0.000 0.000 3.777
Li Tc I N
1 1 2 1
Cartesian
2.825 2.825 1.889
0.000 0.000 0.000
0.000 2.825 0.000
2.825 0.000 0.000
0.000 0.000 1.889
```

Calculated density: 5.1 g/cm³
E above lowest polymorph: 0.0 kJ/mol of atoms
Formation energy from raw total energies: -0.025 eV/atom
DOS at the Fermi energy: 0.829 states/eV per atom